1.
# PBE LiTl16In12, relaxed
data_LiTl16In12
_chemical_formula_sum 'Li2 Tl32 In24'
_space_group_name_H-M_alt 'C 1 m 1'
_space_group_IT_number 8
_cell_length_a 11.912
_cell_length_b 16.700
_cell_length_c 10.386
_cell_angle_alpha 90.00
_cell_angle_beta 124.97
_cell_angle_gamma 90.00
loop_
_space_group_symop_operation_xyz
'x,y,z'
'x,-y,z'
'x+1/2,y+1/2,z'
'x+1/2,-y+1/2,z'
loop_
_atom_site_label
_atom_site_fract_x
_atom_site_fract_y
_atom_site_fract_z
Li1 0.000 0.000 0.000
Tl1 0.000 0.320 0.713
Tl2 0.118 0.195 0.029
Tl3 0.208 0.500 0.423
Tl4 0.283 0.364 0.716
Tl5 0.301 0.303 0.391
Tl6 0.306 0.000 0.070
Tl7 0.321 0.000 0.716
Tl8 0.376 0.344 0.110
Tl9 0.462 0.500 0.362
Tl10 0.477 0.160 0.317
In1 0.003 0.500 0.537
In2 0.042 0.091 0.713
In3 0.088 0.406 0.077
In4 0.141 0.186 0.530
In5 0.196 0.500 0.899
In6 0.217 0.093 0.338
In7 0.321 0.187 0.902
# D(E_F) (states/eV/f.u.): 11.559
# E_form (eV per atom): 0.00

---

2.
# PBE LiTl2In4, relaxed
data_LiTl2In4
_chemical_formula_sum 'Li2 Tl4 In8'
_space_group_name_H-M_alt 'C m m m'
_space_group_IT_number 65
_space_group_name_Hall '-C 2 2'
_cell_length_a 4.464
_cell_length_b 25.451
_cell_length_c 3.299
_cell_angle_alpha 90.00
_cell_angle_beta 90.00
_cell_angle_gamma 90.00
loop_
_atom_site_label
_atom_site_fract_x
_atom_site_fract_y
_atom_site_fract_z
Li1 0.000 0.000 0.000
Tl1 0.000 0.299 0.500
In1 0.000 0.124 0.000
In2 0.000 0.440 0.500
# D(E_F) (states/eV/f.u.): 3.190
# E_form (eV per atom): -0.04

---

3.
# PBE LiTl4In, relaxed
data_LiTl4In
_chemical_formula_sum 'Li16 Tl64 In16'
_space_group_name_H-M_alt 'F -4 3 m'
_space_group_IT_number 216
_space_group_name_Hall 'F -4 2 3'
_cell_length_a 13.854
_cell_length_b 13.854
_cell_length_c 13.854
_cell_angle_alpha 90.00
_cell_angle_beta 90.00
_cell_angle_gamma 90.00
loop_
_atom_site_label
_atom_site_fract_x
_atom_site_fract_y
_atom_site_fract_z
Li1 0.094 0.094 0.094
Tl1 0.000 0.000 0.309
Tl2 0.062 0.250 0.250
Tl3 0.113 0.113 0.887
In1 0.167 0.167 0.667
# D(E_F) (states/eV/f.u.): 1.353
# E above lowest polymorph (meV/atom): 0
# E_form (eV per atom): -0.06